This record from Alexandria via LeMat-Bulk describes crystalline Zr2FeNO at its relaxed geometry. The functional is PBE+U.

Lattice parameters (Å, degrees): 4.771 3.354 4.771 90.00 90.00 90.00
Fractional coordinates of all 5 atoms:
O: 0.500 0.500 0.500
Fe: 0.000 0.000 0.000
Zr: 0.000 0.000 0.500
Zr: 0.500 0.000 0.000
N: 0.000 0.500 0.000

**Electronic total energy**: -6.72 eV/atom
**Fermi-level density of states**: 0.599 states/eV per atom
**Space-group type**: No. 123